! Pa2Pb4S9, optimized geometry, DFT GGA-PBE; values from VASP
! SG = No. 165
! Calculated total energy = -171.9 eV for the cell shown
! Energy relative to the elements, uncorrected = -0.998 eV/atom
&SYSTEM
  ibrav = 0, nat = 30, ntyp = 3
/
ATOMIC_SPECIES
Pa 231.04 Pa.upf
Pb 207.20 Pb.upf
S 32.06 S.upf
ATOMIC_POSITIONS crystal
Pa 0.000 0.000 0.151
Pa 0.000 0.000 0.349
Pa 0.000 0.000 0.651
Pa 0.000 0.000 0.849
Pb 0.333 0.667 0.022
Pb 0.333 0.667 0.318
Pb 0.333 0.667 0.522
Pb 0.333 0.667 0.818
Pb 0.667 0.333 0.182
Pb 0.667 0.333 0.478
Pb 0.667 0.333 0.682
Pb 0.667 0.333 0.978
S 0.000 0.271 0.250
S 0.000 0.729 0.750
S 0.036 0.336 0.913
S 0.036 0.700 0.413
S 0.271 0.000 0.250
S 0.271 0.271 0.750
S 0.300 0.336 0.413
S 0.300 0.964 0.913
S 0.336 0.036 0.587
S 0.336 0.300 0.087
S 0.664 0.700 0.913
S 0.664 0.964 0.413
S 0.700 0.036 0.087
S 0.700 0.664 0.587
S 0.729 0.000 0.750
S 0.729 0.729 0.250
S 0.964 0.300 0.587
S 0.964 0.664 0.087
CELL_PARAMETERS angstrom
7.236 0.000 0.000
-3.618 6.266 0.000
0.000 0.000 19.074